Entry 1:
Computed, not measured: an optimized crystal structure of AcHfU at the PBE level of DFT.

Geometry as extended XYZ:
```
3
Lattice="-4.703 0.152 2.069 -3.139 3.936 -1.038 -4.136 -0.724 -2.964" Properties=species:S:1:pos:R:3 pbc="T T T"
Ac -2.994 0.841 -0.483
Hf 0.000 0.000 0.000
U -8.983 2.523 -1.450
```

Results
The value obtained for the volume is 96 Å³/cell. For the total magnetic moment, the calculation gives 2.7 Bohr magnetons per cell. Its density is 11.13 Mg/m³. Its calculated formation energy is 1.2509 eV/atom.

***

Entry 2:
Computed, not measured: an optimized crystal structure of AcHg at the PBE level of DFT.

Geometry as extended XYZ:
```
4
Lattice="-2.207 -3.252 -3.023 4.576 -0.894 1.687 -2.654 -3.277 5.462" Properties=species:S:1:pos:R:3 pbc="T T T"
Ac 0.325 -4.137 4.214
Ac -0.609 -3.285 -0.087
Hg -1.327 -1.638 2.731
Hg 0.000 0.000 0.000
```

Results
The value obtained for the volume is 147 Å³/cell. For the total magnetic moment, the calculation gives 0.7 Bohr magnetons per cell. Its density is 9.67 Mg/m³. Its calculated formation energy is -0.2932 eV/atom.